# PBE-GGA Ca2TcAg, relaxed
data_Ca2TcAg
_cell_length_a 3.3418
_cell_length_b 3.3418
_cell_length_c 28.8020
_cell_angle_alpha 90.00
_cell_angle_beta 90.00
_cell_angle_gamma 120.00
_space_group_name_H-M_alt 'R -3 m'
_space_group_IT_number 166
_space_group_name_Hall '-R 3 2"'
loop_
_atom_site_label
_atom_site_fract_x
_atom_site_fract_y
_atom_site_fract_z
Ca1 0.0000 0.0000 0.2446
Tc1 0.0000 0.0000 0.5000
Ag1 0.0000 0.0000 0.0000
# Energy above the lowest structure with this stoichiometry, eV/atom: 0.152
# Total DFT energy (no corrections), eV/atom: -3.822



# PBE-GGA Ca2TcAg, relaxed
data_Ca2TcAg
_cell_length_a 3.512
_cell_length_b 3.512
_cell_length_c 8.359
_cell_angle_alpha 90.00
_cell_angle_beta 90.00
_cell_angle_gamma 90.00
_space_group_name_H-M_alt 'P 4 m m'
_space_group_IT_number 99
loop_
_space_group_symop_operation_xyz
'x,y,z'
'-y,x,z'
'-x,-y,z'
'y,-x,z'
'-x,y,z'
'y,x,z'
'x,-y,z'
'-y,-x,z'
loop_
_atom_site_label
_atom_site_fract_x
_atom_site_fract_y
_atom_site_fract_z
Ca1 0.000 0.000 0.000
Ca2 0.500 0.500 0.388
Tc1 0.000 0.000 0.613
Ag1 0.500 0.500 0.774
# Energy above the lowest structure with this stoichiometry, eV/atom: 0.104
# Total DFT energy (no corrections), eV/atom: -3.870



# PBE-GGA CaTcAg2, relaxed
data_CaTcAg2
_cell_length_a 2.9748
_cell_length_b 2.9748
_cell_length_c 29.6909
_cell_angle_alpha 90.00
_cell_angle_beta 90.00
_cell_angle_gamma 120.00
_space_group_name_H-M_alt 'R -3 m'
_space_group_IT_number 166
_space_group_name_Hall '-R 3 2"'
loop_
_atom_site_label
_atom_site_fract_x
_atom_site_fract_y
_atom_site_fract_z
Ca1 0.0000 0.0000 0.0000
Tc1 0.0000 0.0000 0.5000
Ag1 0.0000 0.0000 0.2444
# Energy above the lowest structure with this stoichiometry, eV/atom: 0.237
# Total DFT energy (no corrections), eV/atom: -3.888



| no. | DOS(E_F) (states/eV per cell) | energy relative to the elements (kJ per mole of atoms) | calculated volume (Å³/f.u.) |
| --- | --- | --- | --- |
| 1 | 10.93 | 46.6 | 92.85 |
| 2 | 3.43 | 42.0 | 103.11 |
| 3 | 11.14 | 60.7 | 75.85 |